A plane-wave DFT calculation with PBE was carried out for Li6VPd12 after structural relaxation.

Structure (extended XYZ):
```
19
Lattice="6.4823 0.4351 0.5212 -0.5527 6.4733 0.5212 -0.5527 -0.6439 6.4623" Properties=species:S:1:pos:R:3 pbc="T T T"
Li 3.9664 5.8228 2.6631
Li 4.4168 2.1045 1.2998
Li 0.2228 4.5026 2.3029
Li 1.4106 0.4418 4.8417
Li 0.9602 4.1601 6.2049
Li 5.1542 1.7619 5.2019
V 0.0000 0.0000 0.0000
Pd 4.6306 3.5702 3.5844
Pd 2.1533 5.0150 4.1532
Pd 2.8269 2.6121 5.6764
Pd 0.7464 2.6944 3.9204
Pd 3.2236 1.2495 3.3516
Pd 2.5501 3.6524 1.8283
Pd -0.2429 0.7126 2.3489
Pd 4.6358 3.9299 7.2150
Pd 3.1816 6.1736 6.3839
Pd 5.6199 5.5520 5.1559
Pd 0.7412 2.3347 0.2898
Pd 2.1953 0.0910 1.1208
```

Summary:
Density of states at the Fermi level   9.3 states/eV per cell
Energy of formation from the pure elements   -198 meV/atom
Distance to the lowest polymorph of the same formula   2.30 eV/f.u.